# 1
CeHoPt (GGA-PBE, optimized geometry); D(E_F) = 2.612 states/eV/atom; excess energy over the best structure of this formula in the dataset = 102 meV/atom; volume = 27.8 A^3/atom; space group = F-43m (216); uncorrected energy = -18.6 eV per cell; crystal system = cubic
1.0
4.9056 0.0000 0.0000
2.4528 4.2484 0.0000
2.4528 1.4161 4.0054
Pt Ce Ho
1 1 1
Cartesian
2.4528 1.4161 1.0014 Pt
4.9056 2.8323 2.0027 Ce
0.0000 0.0000 0.0000 Ho


# 2
LaPrEu (GGA-PBE, optimized geometry); D(E_F) = 1.260 states/eV/atom; excess energy over the best structure of this formula in the dataset = 3 meV/atom; volume = 38.1 A^3/atom; space group = P3m1 (156); uncorrected energy = -19.9 eV per cell; crystal system = trigonal
1.0
-0.5205 -3.7266 -0.1938
2.8361 1.6068 -1.8896
5.5540 -1.1581 7.3513
Eu Pr La
1 1 1
Cartesian
0.0093 -0.0019 0.0123 Eu
2.4850 -2.3422 1.7381 Pr
5.3753 -0.9337 3.5175 La


# 3
NiC (GGA-PBE, optimized geometry); D(E_F) = 0.464 states/eV/atom; volume = 8.3 A^3/atom; space group = Pnma (62); uncorrected energy = -53.3 eV per cell; crystal system = orthorhombic
1.0
-1.9825 -0.2299 1.9665
-2.5024 -2.9540 -2.8680
2.3529 -3.8581 1.9209
C Ni
4 4
Cartesian
-2.4583 -4.1109 0.0351 C
-0.1215 -5.7253 0.2061 C
-2.0104 -1.3167 0.8133 C
0.3264 -2.9312 0.9843 C
-1.0623 -4.4499 1.4029 Ni
-1.0697 -2.5922 -0.3835 Ni
0.3294 -3.2032 2.9516 Ni
-2.4614 -3.8388 -1.9321 Ni


# 4
CeYTm2P4 (GGA-PBE, optimized geometry); D(E_F) = 0.677 states/eV/atom; volume = 22.6 A^3/atom; space group = P2/m (10); uncorrected energy = -55.7 eV per cell; crystal system = monoclinic
1.0
4.0001 0.0000 0.0000
0.0000 6.9192 0.1245
0.0000 -2.4158 6.4782
P Y Tm Ce
4 1 2 1
Cartesian
0.0000 4.5913 1.7517 P
2.0000 1.1257 1.6793 P
0.0000 -0.0879 4.8510 P
2.0000 3.3777 4.9234 P
0.0000 0.0000 0.0000 Y
0.0000 2.2517 3.3014 Tm
2.0000 -1.2079 3.2391 Tm
2.0000 3.4596 0.0622 Ce


# 5
AcEuBi4 (GGA-PBE, optimized geometry); D(E_F) = 0.671 states/eV/atom; volume = 35.2 A^3/atom; space group = F-43m (216); uncorrected energy = -32.2 eV per cell; crystal system = cubic
1.0
6.6837 0.0000 0.0000
3.3419 5.7883 0.0000
3.3419 1.9294 5.4572
Bi Eu Ac
4 1 1
Cartesian
8.3592 4.8262 3.4126 Bi
5.0082 4.8262 3.4126 Bi
6.6837 1.9241 3.4126 Bi
6.6837 3.8588 0.6765 Bi
0.0000 0.0000 0.0000 Eu
3.3419 1.9294 1.3643 Ac


# 6
CaCe2HoSe5 (GGA-PBE, optimized geometry); D(E_F) = 2.070 states/eV/atom; E_form (uncorrected) = -1.43 eV per atom; volume = 31.9 A^3/atom; space group = P4/mmm (123); uncorrected energy = -48.7 eV per cell; crystal system = tetragonal
1.0
-0.4486 -3.1572 4.0542
-0.0219 -4.0684 -3.1707
10.7551 -0.6133 0.7125
Se Ho Ce Ca
5 1 2 1
Cartesian
-0.2353 -3.6128 0.4417 Se
5.3666 -2.3408 -1.2291 Se
8.1070 -0.4623 0.5371 Se
2.6481 -0.1510 0.1754 Se
5.1532 -1.8853 2.3834 Se
5.3776 -0.3066 0.3563 Ho
7.3186 -4.0435 0.9422 Ce
2.9660 -3.7953 0.6538 Ce
0.0000 0.0000 0.0000 Ca


# 7
YCrPt2 (GGA-PBE, optimized geometry); D(E_F) = 0.901 states/eV/atom; excess energy over the best structure of this formula in the dataset = 290 meV/atom; volume = 18.2 A^3/atom; space group = F-43m (216); uncorrected energy = -29.6 eV per cell; crystal system = cubic
1.0
-4.6726 -0.2041 -0.3524
-1.9861 -2.5308 -3.4131
-2.2588 -3.9767 1.0404
Cr Pt Y
1 2 1
Cartesian
-4.4587 -3.3558 -1.3625 Cr
-2.2294 -1.6779 -0.6813 Pt
0.0000 0.0000 0.0000 Pt
-6.6881 -5.0337 -2.0438 Y


# 8
PrNd3Y4 (GGA-PBE, optimized geometry); D(E_F) = 1.912 states/eV/atom; excess energy over the best structure of this formula in the dataset = 0 meV/atom; volume = 34.2 A^3/atom; space group = Pmn2_1 (31); uncorrected energy = -89.5 eV per cell; crystal system = orthorhombic
1.0
6.3644 0.0000 0.0000
0.0000 7.3796 0.0000
0.0000 0.0000 11.6566
Y Nd Pr
8 6 2
Cartesian
0.9336 6.4767 5.8283 Y
4.1158 0.9030 0.0000 Y
6.2495 0.9035 2.9182 Y
3.0673 6.4762 8.7465 Y
3.0673 6.4762 2.9102 Y
6.2495 0.9035 8.7385 Y
4.1149 0.9014 5.8283 Y
0.9327 6.4783 0.0000 Y
6.2394 4.6249 8.7445 Nd
4.1257 4.6222 0.0000 Nd
6.2394 4.6249 2.9121 Nd
3.0572 2.7548 2.9162 Nd
0.9435 2.7574 5.8283 Nd
3.0572 2.7548 8.7404 Nd
0.9494 2.7598 0.0000 Pr
4.1316 4.6199 5.8283 Pr


# 9
Mn2ZnSe (GGA-PBE, optimized geometry); D(E_F) = 0.646 states/eV/atom; excess energy over the best structure of this formula in the dataset = 80 meV/atom; E_form (uncorrected) = 0.15 eV per atom; volume = 16.8 A^3/atom; space group = C2/m (12); uncorrected energy = -22.5 eV per cell; crystal system = monoclinic
1.0
4.1799 -0.0319 0.0313
2.9064 3.0042 0.0313
1.1707 0.4910 5.3169
Mn Zn Se
2 1 1
Cartesian
4.0987 1.7192 2.6055 Mn
0.0298 0.0125 0.0842 Mn
2.0643 0.8658 1.3449 Zn
6.1928 2.5975 4.0347 Se


# 10
LaPuC (GGA-PBE, optimized geometry); D(E_F) = 1.155 states/eV/atom; excess energy over the best structure of this formula in the dataset = 701 meV/atom; volume = 18.5 A^3/atom; space group = Imma (74); uncorrected energy = -52.7 eV per cell; crystal system = orthorhombic
1.0
5.4732 0.3818 0.4762
-2.3367 4.9640 -0.4762
3.1653 1.7359 4.1588
Pu C La
2 2 2
Cartesian
1.5683 2.6729 0.0000 Pu
0.4143 3.3500 1.8413 Pu
-1.1683 2.4820 -0.2381 C
2.7366 0.1909 0.2381 C
3.3880 5.1983 1.6186 La
2.9137 1.8835 2.5402 La